# 1
Compound: CaCo2As
Source: Alexandria via LeMat-Bulk
Functional: PBE
Structure: optimized geometry

extended XYZ file:
```
8
Lattice="-0.9539 3.4745 -2.7661 -3.7367 0.9011 2.4205 1.8603 7.0656 4.5038" Properties=species:S:1:pos:R:3 pbc="T T T"
As 0.0000 0.0000 0.0000
As -0.7194 6.3639 0.7825
Co -0.8357 4.9154 -0.9888
Co -2.7061 5.3736 0.2154
Co 0.5664 6.7157 2.6458
Co 0.0976 8.4510 1.2574
Ca -2.3453 2.1878 -0.1728
Ca -2.1108 5.0772 3.3758
```

* formation energy: -100 meV per atom
* space-group type: I4_1/amd (141)

# 2
Compound: LiCa2Nd
Source: Alexandria via LeMat-Bulk
Functional: PBE
Structure: optimized geometry

extended XYZ file:
```
4
Lattice="4.0532 0.0000 0.0000 0.0000 4.0532 0.0000 0.0000 0.0000 8.4381" Properties=species:S:1:pos:R:3 pbc="T T T"
Ca 0.0000 0.0000 6.5297
Ca 0.0000 0.0000 1.9085
Nd 2.0266 2.0266 4.2191
Li 2.0266 2.0266 0.0000
```

* formation energy: 78 meV per atom
* space-group type: P4/mmm (123)

# 3
Compound: MgIn12Hg6
Source: Alexandria via LeMat-Bulk
Functional: PBE
Structure: optimized geometry

extended XYZ file:
```
19
Lattice="8.0014 -0.0945 -0.0453 -0.0456 8.0018 0.0453 -0.0939 0.0945 8.0010" Properties=species:S:1:pos:R:3 pbc="T T T"
Mg 0.0000 0.0000 0.0000
In 3.9978 6.4045 3.9194
In 1.5269 3.9341 3.9341
In 3.9974 3.9488 6.4048
In 3.8641 1.5973 4.0816
In 6.3350 4.0677 4.0668
In 3.8645 4.0531 1.5961
In 6.7859 0.6626 3.2391
In 3.1494 6.8762 7.3166
In 0.5975 4.8000 6.8507
In 1.0760 7.3392 4.7619
In 4.7125 1.1256 0.6844
In 7.2644 3.2018 1.1502
Hg 1.3746 6.1094 1.7609
Hg 6.0530 6.2120 1.4306
Hg 1.7041 1.4317 1.8941
Hg 6.4873 1.8924 6.2401
Hg 1.8089 1.7898 6.5704
Hg 6.1578 6.5701 6.1068
```

* formation energy: 16 meV per atom
* space-group type: R-3 (148)